1.
# Mg4Si3

A geometry-optimized Mg4Si3 structure (PBE, the Alexandria database).

## Properties
The energy above the most stable polymorph in this dataset comes out at 0.34 eV/f.u. Its uncorrected formation energy is 0.02 eV per atom. For the final energy, the calculation gives -22.537 eV/f.u.

Structure (POSCAR):
```
Mg4Si3
1.0
6.268 0.000 0.000
-2.580 6.736 0.000
-0.233 -3.053 6.617
Mg Si
8 6
direct
0.000 0.000 0.000 Mg
0.006 0.323 0.487 Mg
0.100 0.781 0.259 Mg
0.328 0.170 0.704 Mg
0.360 0.735 0.857 Mg
0.426 0.531 0.183 Mg
0.668 0.234 0.066 Mg
0.720 0.956 0.614 Mg
0.032 0.732 0.595 Si
0.036 0.362 0.892 Si
0.379 0.220 0.341 Si
0.593 0.976 0.261 Si
0.635 0.560 0.622 Si
0.761 0.548 0.932 Si
```



2.
# BaIn2Br

A geometry-optimized BaIn2Br structure (PBE, the Alexandria database).

## Properties
The energy above the most stable polymorph in this dataset comes out at 1.92 eV/f.u. Its uncorrected formation energy is -0.25 eV per atom. For the final energy, the calculation gives -10.091 eV/f.u.

Structure (POSCAR):
```
BaIn2Br
1.0
0.000 4.121 4.121
4.121 0.000 4.121
4.121 4.121 0.000
Ba In Br
1 2 1
direct
0.000 0.000 0.000 Ba
0.250 0.250 0.250 In
0.750 0.750 0.750 In
0.500 0.500 0.500 Br
```



- What is the final energy in the first record?
  -22.537 eV/f.u.



- Among the records above, which one has the lowest final energy?
  Mg4Si3



- Which of these has the highest uncorrected formation energy?
  Mg4Si3